VASP calculation (PBE+U) on crystalline Ac2PrVO6 at its relaxed geometry.

Geometry as extended XYZ:
```
20
Lattice="5.943 0.000 0.000 0.000 6.103 0.000 -5.795 0.000 8.588" Properties=species:S:1:pos:R:3 pbc="T T T"
Ac -0.052 0.301 2.141
Ac -2.949 2.750 6.435
Ac 3.097 3.353 2.153
Ac 0.200 5.802 6.447
Pr 2.972 0.000 0.000
Pr 0.074 3.052 4.294
V -2.897 0.000 4.294
V 0.000 3.052 0.000
O -4.722 1.335 8.070
O -1.825 1.716 3.775
O -4.143 4.196 8.109
O -1.245 4.958 3.815
O -2.217 0.258 6.301
O 0.681 2.793 2.006
O -0.533 3.310 6.582
O 2.365 5.845 2.288
O 1.394 1.145 4.773
O 4.291 1.907 0.479
O 1.973 4.387 4.813
O 4.870 4.768 0.519
```

Computed properties:
Uncorrected energy, eV/atom: -8.00

VASP calculation (PBE+U) on crystalline AcPrV2O8 at its relaxed geometry.

Geometry as extended XYZ:
```
12
Lattice="5.781 0.000 0.000 -2.890 5.006 0.000 0.000 0.000 7.486" Properties=species:S:1:pos:R:3 pbc="T T T"
Ac 0.000 0.000 0.000
Pr 0.000 0.000 3.743
V 0.000 3.337 5.980
V 2.890 1.669 1.506
O -0.005 1.656 5.455
O -1.453 4.183 5.455
O 1.431 0.833 2.031
O 0.000 3.337 0.173
O 2.890 1.669 7.313
O 1.459 4.173 5.455
O 4.344 0.823 2.031
O 2.896 3.350 2.031
```

Computed properties:
Uncorrected energy, eV/atom: -7.90

VASP calculation (PBE+U) on crystalline Ac2PrWO8 at its relaxed geometry.

Geometry as extended XYZ:
```
12
Lattice="4.466 0.000 0.000 0.000 7.417 0.000 -0.487 0.000 5.649" Properties=species:S:1:pos:R:3 pbc="T T T"
Ac 0.000 1.806 0.000
Ac 0.000 5.610 0.000
Pr 1.990 3.708 2.825
W 1.990 0.000 2.825
O 0.077 3.708 1.426
O 0.269 0.000 1.900
O 1.608 1.472 4.100
O 1.608 5.944 4.100
O 2.371 1.472 1.550
O 2.371 5.944 1.550
O 3.710 0.000 3.749
O 3.902 3.708 4.224
```

Computed properties:
Uncorrected energy, eV/atom: -7.68

VASP calculation (PBE+U) on crystalline AcPr2WO8 at its relaxed geometry.

Geometry as extended XYZ:
```
12
Lattice="3.700 -3.718 0.000 3.700 3.718 0.000 0.000 0.000 7.317" Properties=species:S:1:pos:R:3 pbc="T T T"
Ac 0.000 0.000 0.000
Pr 3.700 0.000 1.914
Pr 3.700 0.000 5.403
W 0.000 0.000 3.658
O 3.700 2.386 2.217
O 3.700 2.386 5.100
O 1.963 0.000 3.658
O 2.351 0.000 0.000
O 5.049 0.000 0.000
O 5.436 0.000 3.658
O 3.700 -2.386 2.217
O 3.700 -2.386 5.100
```

Computed properties:
Uncorrected energy, eV/atom: -7.77